Density functional theory data (GGA-PBE) for GeBI2O after structural relaxation.

Computed properties:
For the total magnetic moment, the calculation gives 0.0 μB per cell. The total energy is -0.1194 hartree per atom. The uncorrected formation energy is 0.6214 eV/atom. The energy above the most stable polymorph in this dataset is 462 meV per atom.

a = 5.7828 Å, b = 5.7828 Å, c = 3.7412 Å
α = 90.00°, β = 90.00°, γ = 90.00°
Closest atoms and distances in Å follow each position.
Space group P4/mmm (No. 123)
Asymmetric unit:
Ge 0.0000 0.0000 0.0000  2 O 1.87
B 0.5000 0.5000 0.5000  8 I 3.44, 2 B 3.74
I 0.0000 0.5000 0.0000  2 Ge 2.89
O 0.0000 0.0000 0.5000  2 Ge 1.87